First-principles (PBE) data for a relaxed structure of Sr6Al2Cd, as listed in Alexandria via LeMat-Bulk.

a b c (Å): 9.816 9.816 9.816
angles (deg): 113.53 110.06 104.94
Element x y z (fractional)
Sr: 0.024 0.824 0.200
Sr: 0.245 0.541 0.296
Sr: 0.245 0.949 0.704
Sr: 0.269 0.318 0.587
Sr: 0.269 0.682 0.951
Sr: 0.376 0.176 0.200
Sr: 0.624 0.824 0.800
Sr: 0.731 0.318 0.049
Sr: 0.731 0.682 0.413
Sr: 0.755 0.051 0.296
Sr: 0.755 0.459 0.704
Sr: 0.976 0.176 0.800
Al: 0.000 0.129 0.129
Al: 0.000 0.871 0.871
Al: 0.392 0.392 0.000
Al: 0.608 0.608 0.000
Cd: 0.000 0.500 0.500
Cd: 0.500 0.000 0.500

Results
Space group = Immm
Fermi-level density of states = 1.2992 states/eV/atom
DFT total energy = -39.1 eV per cell